[1]
A plane-wave DFT calculation with SCAN was carried out for a crystal of Tc2Au relaxed with PBEsol.

Calculated values
* distance to the lowest polymorph of the same formula: 1330 meV/atom
* ΔH_f (0 K): 1411 meV per atom

Cell: 2.6120 4.5815 4.5815 Å, 90.00 90.00 90.00°
Last column: nearest neighbours and their distance in Å.
Positions (direct):
Au  0.0000  0.0000  0.0000  2 Au 2.61, 8 Tc 2.64
Tc  0.5000  0.0000  0.5000  2 Tc 2.61, 4 Au 2.64
Tc  0.5000  0.5000  0.0000  2 Tc 2.61, 4 Au 2.64

=====

[2]
A plane-wave DFT calculation with SCAN was carried out for a crystal of Sr2TlHg2 relaxed with PBEsol.

Calculated values
* ΔH_f (0 K): -587 meV per atom

Cell: 4.3024 8.3834 8.3834 Å, 90.00 90.00 90.00°
Last column: nearest neighbours and their distance in Å.
Positions (direct):
Sr  0.5000  0.1765  0.6765  6 Hg 3.20-3.34
Sr  0.5000  0.6765  0.8235  6 Hg 3.20-3.34
Sr  0.5000  0.8235  0.3235  6 Hg 3.20-3.34
Sr  0.5000  0.3235  0.1765  6 Hg 3.20-3.34
Tl  0.0000  0.0000  0.0000  4 Hg 3.32
Tl  0.0000  0.5000  0.5000  4 Hg 3.32
Hg  0.0000  0.3761  0.8761  1 Hg 2.94, 2 Sr 3.20
Hg  0.0000  0.8761  0.6239  1 Hg 2.94, 2 Sr 3.20
Hg  0.0000  0.6239  0.1239  1 Hg 2.94, 2 Sr 3.20
Hg  0.0000  0.1239  0.3761  1 Hg 2.94, 2 Sr 3.20

=====

[3]
A plane-wave DFT calculation with SCAN was carried out for a crystal of CdAsIr2 relaxed with PBEsol.

Calculated values
* distance to the lowest polymorph of the same formula: 286 meV/atom
* ΔH_f (0 K): 445 meV per atom

Cell: 2.8901 4.5499 4.8519 Å, 90.00 90.00 90.00°
Last column: nearest neighbours and their distance in Å.
Positions (direct):
As  0.5000  0.5000  0.0000  4 Ir 2.70, 4 Cd 2.82, 2 As 2.89
Ir  0.0000  0.0000  0.0000  4 As 2.70, 6 Ir 2.82-2.89
Ir  0.5000  0.0000  0.5000  4 Cd 2.70, 6 Ir 2.82-2.89
Cd  0.0000  0.5000  0.5000  4 Ir 2.70, 4 As 2.82, 2 Cd 2.89

=====

[4]
A plane-wave DFT calculation with SCAN was carried out for a crystal of MgMn4O6 relaxed with PBEsol.

Calculated values
* formation energy (no corrections): -2.17 eV/atom

Cell: 2.9379 5.1615 15.1052 Å, 90.00 90.00 106.53°
Last column: nearest neighbours and their distance in Å.
Positions (direct):
Mg  0.1538  0.3075  0.2500  6 O 2.05-2.25
Mg  0.8462  0.6925  0.7500  6 O 2.05-2.25
Mn  0.3657  0.7315  0.5447  6 O 1.93-2.11
Mn  0.6343  0.2685  0.4553  6 O 1.93-2.11
Mn  0.9012  0.8025  0.3604  5 O 1.96-2.13
Mn  0.0988  0.1975  0.6396  5 O 1.96-2.13
Mn  0.3657  0.7315  0.9553  6 O 1.93-2.11
Mn  0.6343  0.2685  0.0447  6 O 1.93-2.11
Mn  0.0988  0.1975  0.8604  5 O 1.96-2.13
Mn  0.9012  0.8025  0.1396  5 O 1.96-2.13
O  0.0000  0.0000  0.5000  6 Mn 2.09-2.32
O  0.0000  0.0000  0.0000  6 Mn 2.09-2.32
O  0.7980  0.5961  0.2500  2 Mn 1.96, 2 Mg 2.05
O  0.2020  0.4039  0.7500  2 Mn 1.96, 2 Mg 2.05
O  0.5494  0.0987  0.1599  3 Mn 1.93-2.10
O  0.4506  0.9013  0.8401  3 Mn 1.93-2.10
O  0.4506  0.9013  0.6599  3 Mn 1.93-2.10
O  0.5494  0.0987  0.3401  3 Mn 1.93-2.10
O  0.2794  0.5588  0.0762  5 Mn 2.02-2.13
O  0.7206  0.4412  0.9238  5 Mn 2.02-2.13
O  0.7206  0.4412  0.5762  5 Mn 2.02-2.13
O  0.2794  0.5588  0.4238  5 Mn 2.02-2.13

=====

[5]
A plane-wave DFT calculation with SCAN was carried out for a crystal of BiPdICl2 relaxed with PBEsol.

Calculated values
* formation energy (no corrections): -0.29 eV/atom

Cell: 4.7112 4.7112 5.6514 Å, 90.00 90.00 90.00°
Last column: nearest neighbours and their distance in Å.
Positions (direct):
I  0.5000  0.5000  0.5000  4 Bi 3.33, 8 Cl 3.68
Bi  0.0000  0.0000  0.5000  2 Pd 2.83
Pd  0.0000  0.0000  0.0000  4 Cl 2.36
Cl  0.0000  0.5000  0.0000  2 Pd 2.36
Cl  0.5000  0.0000  0.0000  2 Pd 2.36

=====

[6]
A plane-wave DFT calculation with SCAN was carried out for a crystal of Zr2ScIn relaxed with PBEsol.

Calculated values
* ΔH_f (0 K): -302 meV per atom

Cell: 4.3389 4.3389 5.5079 Å, 113.20 113.20 90.00°
Last column: nearest neighbours and their distance in Å.
Positions (direct):
Sc  0.2500  0.7500  0.5000  8 Zr 3.07-3.15, 4 In 3.15
Zr  0.0000  0.0000  0.0000  4 In 3.07, 4 Zr 3.15, 4 Sc 3.15
Zr  0.7500  0.2500  0.5000  4 Sc 3.07, 4 Zr 3.15, 4 In 3.15
In  0.5000  0.5000  0.0000  8 Zr 3.07-3.15, 4 Sc 3.15

=====

[7]
A plane-wave DFT calculation with SCAN was carried out for a crystal of Sc2SbAu relaxed with PBEsol.

Calculated values
* formation energy (no corrections): -0.36 eV/atom

Cell: 3.3299 3.3299 9.5763 Å, 79.99 79.99 60.00°
Last column: nearest neighbours and their distance in Å.
Positions (direct):
Au  0.4949  0.4949  0.5152  3 Sc 2.75
Sb  0.2472  0.2472  0.2583  3 Sc 3.08, 3 Au 3.08, 6 Sb 3.33
Sc  0.9992  0.9992  0.0023  3 Sb 3.08, 9 Sc 3.24-3.33
Sc  0.7586  0.7586  0.7242  3 Au 2.75

=====

[8]
A plane-wave DFT calculation with SCAN was carried out for a crystal of PdNCl2 relaxed with PBEsol.

Calculated values
* formation energy (no corrections): 1.34 eV/atom

Cell: 4.7280 4.7280 7.0338 Å, 109.64 109.64 90.00°
Last column: nearest neighbours and their distance in Å.
Positions (direct):
N  0.7500  0.2500  0.5000  4 Cl 2.16
N  0.5000  0.5000  0.0000  4 Cl 2.16
Pd  0.2500  0.7500  0.5000  4 Cl 2.41
Pd  0.0000  0.0000  0.0000  4 Cl 2.41
Cl  0.8249  0.3750  0.2500  2 N 2.16, 2 Pd 2.41
Cl  0.4251  0.8750  0.2500  2 N 2.16, 2 Pd 2.41
Cl  0.6250  0.5749  0.7500  2 N 2.16, 2 Pd 2.41
Cl  0.1250  0.1751  0.7500  2 N 2.16, 2 Pd 2.41

=====

[9]
A plane-wave DFT calculation with SCAN was carried out for a crystal of CeYFe17 relaxed with PBEsol.

Calculated values
* distance to the lowest polymorph of the same formula: 0 meV/atom
* ΔH_f (0 K): 51 meV per atom

Cell: 6.2137 6.2137 6.2137 Å, 82.32 82.32 82.32°
Last column: nearest neighbours and their distance in Å.
Positions (direct):
Ce  0.6581  0.6581  0.6581  19 Fe 2.90-3.20
Y  0.3403  0.3403  0.3403  19 Fe 2.90-3.14
Fe  0.8396  0.3409  0.3409  9 Fe 2.36-2.57
Fe  0.3409  0.8396  0.3409  9 Fe 2.36-2.57
Fe  0.3409  0.3409  0.8396  9 Fe 2.36-2.57
Fe  0.1577  0.6601  0.6601  9 Fe 2.37-2.56
Fe  0.6601  0.1577  0.6601  9 Fe 2.37-2.56
Fe  0.6601  0.6601  0.1577  9 Fe 2.37-2.56
Fe  0.2942  0.0005  0.7062  8 Fe 2.36-2.57
Fe  0.7062  0.2942  0.0005  8 Fe 2.36-2.57
Fe  0.0005  0.7062  0.2942  8 Fe 2.36-2.57
Fe  0.2942  0.7062  0.0005  8 Fe 2.36-2.57
Fe  0.0005  0.2942  0.7062  8 Fe 2.36-2.57
Fe  0.7062  0.0005  0.2942  8 Fe 2.36-2.57
Fe  0.0024  0.4981  0.0024  10 Fe 2.36-2.53
Fe  0.0024  0.0024  0.4981  10 Fe 2.36-2.53
Fe  0.4981  0.0024  0.0024  10 Fe 2.36-2.53
Fe  0.9039  0.9039  0.9039  7 Fe 2.30-2.53
Fe  0.0939  0.0939  0.0939  7 Fe 2.30-2.56

=====

[10]
A plane-wave DFT calculation with SCAN was carried out for a crystal of Ir2Rh relaxed with PBEsol.

Calculated values
* distance to the lowest polymorph of the same formula: 90 meV/atom
* ΔH_f (0 K): 57 meV per atom

Cell: 4.3825 4.6858 4.6858 Å, 119.96 90.00 90.00°
Last column: nearest neighbours and their distance in Å.
Positions (direct):
Ir  0.2500  0.8326  0.4984  7 Ir 2.69-2.71, 5 Rh 2.69-2.72
Ir  0.7500  0.1674  0.5016  7 Ir 2.69-2.71, 5 Rh 2.69-2.72
Ir  0.2500  0.4984  0.8326  7 Ir 2.69-2.71, 5 Rh 2.69-2.72
Ir  0.7500  0.5016  0.1674  7 Ir 2.69-2.71, 5 Rh 2.69-2.72
Rh  0.2500  0.1682  0.1682  10 Ir 2.69-2.72, 2 Rh 2.70
Rh  0.7500  0.8318  0.8318  10 Ir 2.69-2.72, 2 Rh 2.70

=====

[11]
A plane-wave DFT calculation with SCAN was carried out for a crystal of Ca2BeIn relaxed with PBEsol.

Calculated values
* ΔH_f (0 K): -80 meV per atom

Cell: 5.1861 5.1717 5.1875 Å, 120.14 90.00 120.09°
Last column: nearest neighbours and their distance in Å.
Positions (direct):
Be  0.5000  0.0000  0.0000  8 Ca 3.17
Ca  0.7500  0.5000  0.7500  4 Be 3.17, 4 In 3.17
Ca  0.2500  0.5000  0.2500  4 Be 3.17, 4 In 3.17
In  0.0000  0.0000  0.5000  8 Ca 3.17

=====

[12]
A plane-wave DFT calculation with SCAN was carried out for a crystal of MgBi3N relaxed with PBEsol.

Calculated values
* formation energy (no corrections): 0.57 eV/atom

Cell: 4.9232 4.9232 4.9232 Å, 90.00 90.00 90.00°
Last column: nearest neighbours and their distance in Å.
Positions (direct):
Mg  0.5000  0.5000  0.5000  12 Bi 3.48
Bi  0.0000  0.5000  0.0000  2 N 2.46
Bi  0.0000  0.0000  0.5000  2 N 2.46
Bi  0.5000  0.0000  0.0000  2 N 2.46
N  0.0000  0.0000  0.0000  6 Bi 2.46

=====

[13]
A plane-wave DFT calculation with SCAN was carried out for a crystal of BiSbHI2 relaxed with PBEsol.

Cell: 3.9360 5.6371 5.6371 Å, 90.00 90.00 90.00°
Last column: nearest neighbours and their distance in Å.
Positions (direct):
I  0.0000  0.0000  0.5000  2 H 2.82
I  0.0000  0.5000  0.0000  2 H 2.82
Sb  0.5000  0.0000  0.0000  2 H 1.97
Bi  0.5000  0.5000  0.5000  8 I 3.44
H  0.0000  0.0000  0.0000  2 Sb 1.97

=====

[14]
A plane-wave DFT calculation with SCAN was carried out for a crystal of ScTiHg2 relaxed with PBEsol.

Calculated values
* ΔH_f (0 K): -412 meV per atom

Cell: 4.7901 4.7901 4.7901 Å, 60.00 60.00 60.00°
Last column: nearest neighbours and their distance in Å.
Positions (direct):
Sc  0.0000  0.0000  0.0000  8 Hg 2.93
Hg  0.2500  0.2500  0.2500  4 Sc 2.93, 4 Ti 2.93
Hg  0.7500  0.7500  0.7500  4 Ti 2.93, 4 Sc 2.93
Ti  0.5000  0.5000  0.5000  8 Hg 2.93

=====

[15]
A plane-wave DFT calculation with SCAN was carried out for a crystal of KNa2Li2 relaxed with PBEsol.

Calculated values
* ΔH_f (0 K): 72 meV per atom

Cell: 3.6210 9.8770 9.8770 Å, 90.00 90.00 90.00°
Last column: nearest neighbours and their distance in Å.
Positions (direct):
Na  0.0000  0.3707  0.8707  6 Li 3.42, 3 Na 3.61-3.62
Na  0.0000  0.8707  0.6293  6 Li 3.42, 3 Na 3.61-3.62
Na  0.0000  0.6293  0.1293  6 Li 3.42, 3 Na 3.61-3.62
Na  0.0000  0.1293  0.3707  6 Li 3.42, 3 Na 3.61-3.62
K  0.0000  0.0000  0.0000  2 K 3.62, 4 Na 3.88
K  0.0000  0.5000  0.5000  2 K 3.62, 4 Na 3.88
Li  0.5000  0.1627  0.6627  6 Na 3.42, 2 Li 3.62
Li  0.5000  0.6627  0.8373  6 Na 3.42, 2 Li 3.62
Li  0.5000  0.8373  0.3373  6 Na 3.42, 2 Li 3.62
Li  0.5000  0.3373  0.1627  6 Na 3.42, 2 Li 3.62

=====

[16]
A plane-wave DFT calculation with SCAN was carried out for a crystal of Mn2CoMo relaxed with PBEsol.

Calculated values
* ΔH_f (0 K): 239 meV per atom

Cell: 2.5641 2.5641 8.3953 Å, 81.22 81.22 60.00°
Last column: nearest neighbours and their distance in Å.
Positions (direct):
Co  0.2552  0.2552  0.2344  3 Mn 2.46, 6 Co 2.56, 3 Mo 2.63
Mn  0.0010  0.0010  0.9971  9 Mn 2.38-2.56, 3 Co 2.46
Mn  0.7428  0.7428  0.7716  9 Mn 2.38-2.56
Mo  0.5010  0.5010  0.4969  6 Mo 2.56, 3 Co 2.63, 3 Mn 2.71

=====

[17]
A plane-wave DFT calculation with SCAN was carried out for a crystal of B2OsC2 relaxed with PBEsol.

Calculated values
* ΔH_f (0 K): 1475 meV per atom

Cell: 2.7485 2.7485 5.3701 Å, 104.83 104.83 90.00°
Last column: nearest neighbours and their distance in Å.
Positions (direct):
C  0.3463  0.3463  0.6926  4 B 1.68
C  0.6537  0.6537  0.3074  4 B 1.68
B  0.2500  0.7500  0.5000  4 C 1.68
B  0.7500  0.2500  0.5000  4 C 1.68
Os  0.0000  0.0000  0.0000  8 C 2.48, 4 Os 2.75

=====

[18]
A plane-wave DFT calculation with SCAN was carried out for a crystal of Na2HfIr relaxed with PBEsol.

Calculated values
* ΔH_f (0 K): 90 meV per atom

Cell: 3.7628 3.7628 11.7392 Å, 99.22 99.22 90.00°
Last column: nearest neighbours and their distance in Å.
Positions (direct):
Na  0.3543  0.8750  0.2500  4 Na 2.55-2.77
Na  0.8957  0.3750  0.2500  4 Na 2.55-2.77
Na  0.1250  0.1043  0.7500  4 Na 2.55-2.77
Na  0.6250  0.6457  0.7500  4 Na 2.55-2.77
Ir  0.2500  0.7500  0.5000  4 Hf 2.66
Ir  0.0000  0.0000  0.0000  4 Hf 2.66
Hf  0.7500  0.2500  0.5000  4 Ir 2.66
Hf  0.5000  0.5000  0.0000  4 Ir 2.66

=====

[19]
A plane-wave DFT calculation with SCAN was carried out for a crystal of NaHgOF2 relaxed with PBEsol.

Calculated values
* formation energy (no corrections): -0.92 eV/atom

Cell: 3.9886 3.9886 4.2243 Å, 90.00 90.00 90.00°
Last column: nearest neighbours and their distance in Å.
Positions (direct):
Na  0.0000  0.0000  0.0000  4 F 1.99, 2 O 2.11
Hg  0.5000  0.5000  0.5000  4 O 2.82, 8 F 2.90
O  0.0000  0.0000  0.5000  2 Na 2.11
F  0.0000  0.5000  0.0000  2 Na 1.99
F  0.5000  0.0000  0.0000  2 Na 1.99

=====

[20]
A plane-wave DFT calculation with SCAN was carried out for a crystal of ScHgCl2 relaxed with PBEsol.

Calculated values
* distance to the lowest polymorph of the same formula: 298 meV/atom
* formation energy (no corrections): -1.12 eV/atom

Cell: 3.2945 3.2945 7.5649 Å, 90.00 90.00 90.00°
Last column: nearest neighbours and their distance in Å.
Positions (direct):
Sc  0.5000  0.5000  0.7725  4 Cl 2.66
Hg  0.0000  0.0000  0.5025  4 Cl 2.86, 4 Sc 3.10
Cl  0.0000  0.0000  0.9426  4 Sc 2.66
Cl  0.5000  0.5000  0.2823  4 Hg 2.86

=====

Number 1: electronic total energy -135.04 eV for the cell shown, volume 18.28 Å³/atom, M_tot 0.00 Bohr magnetons per cell. Number 2: electronic total energy -512.35 eV for the cell shown, volume 30.24 Å³/atom, M_tot 0.00 Bohr magnetons per cell. Number 3: electronic total energy -191.03 eV for the cell shown, volume 15.95 Å³/atom, M_tot 0.00 Bohr magnetons per cell. Number 4: electronic total energy -278.54 eV for the cell shown, volume 9.98 Å³/atom, M_tot 35.68 Bohr magnetons per cell. Number 5: electronic total energy -165.52 eV for the cell shown, volume 25.09 Å³/atom, M_tot 0.00 Bohr magnetons per cell. Number 6: electronic total energy -110.23 eV for the cell shown, volume 21.53 Å³/atom, M_tot 0.00 Bohr magnetons per cell. Number 7: electronic total energy -136.32 eV for the cell shown, volume 22.52 Å³/atom, M_tot 1.52 Bohr magnetons per cell. Number 8: electronic total energy -105.31 eV for the cell shown, volume 17.29 Å³/atom, M_tot 0.01 Bohr magnetons per cell. Number 9: electronic total energy -379.65 eV for the cell shown, volume 12.31 Å³/atom, M_tot 40.47 Bohr magnetons per cell. Number 10: electronic total energy -351.60 eV for the cell shown, volume 13.89 Å³/atom, M_tot 0.00 Bohr magnetons per cell. Number 11: electronic total energy -57.39 eV for the cell shown, volume 24.51 Å³/atom, M_tot 0.00 Bohr magnetons per cell. Number 12: electronic total energy -247.13 eV for the cell shown, volume 23.87 Å³/atom, M_tot 0.00 Bohr magnetons per cell. Number 13: electronic total energy -190.31 eV for the cell shown, volume 25.01 Å³/atom, M_tot 0.00 Bohr magnetons per cell. Number 14: electronic total energy -168.25 eV for the cell shown, volume 19.43 Å³/atom, M_tot 1.69 Bohr magnetons per cell. Number 15: electronic total energy -42.35 eV for the cell shown, volume 35.33 Å³/atom, M_tot 0.12 Bohr magnetons per cell. Number 16: electronic total energy -87.74 eV for the cell shown, volume 11.76 Å³/atom, M_tot 1.93 Bohr magnetons per cell. Number 17: electronic total energy -99.56 eV for the cell shown, volume 7.56 Å³/atom, M_tot 0.00 Bohr magnetons per cell. Number 18: electronic total energy -283.68 eV for the cell shown, volume 20.24 Å³/atom, M_tot 0.00 Bohr magnetons per cell. Number 19: electronic total energy -90.31 eV for the cell shown, volume 13.44 Å³/atom, M_tot 1.02 Bohr magnetons per cell. Number 20: electronic total energy -102.84 eV for the cell shown, volume 20.53 Å³/atom, M_tot 0.84 Bohr magnetons per cell.